Entry 1:
GaIr10 | PBE | optimized geometry

Unit cell a=4.7213 b=4.7213 c=32.2912 alpha=90.00 beta=90.00 gamma=48.24
Last column: nearest neighbours and their distance in Å.
Sites, in units of the cell vectors:
Ga 0.1456 0.1456 0.2213  6 Ir 2.66-2.71
Ga 0.8544 0.8544 0.7787  6 Ir 2.66-2.71
Ir 0.8474 0.8474 0.2455  3 Ga 2.69-2.71, 6 Ir 2.70-2.74
Ir 0.5480 0.5480 0.2717  2 Ga 2.66, 9 Ir 2.68-2.76
Ir 0.2535 0.2535 0.2984  1 Ga 2.66, 11 Ir 2.68-2.76
Ir 0.9513 0.9513 0.3256  12 Ir 2.71-2.75
Ir 0.6527 0.6527 0.3520  12 Ir 2.71-2.75
Ir 0.3530 0.3530 0.3792  12 Ir 2.72-2.75
Ir 0.0512 0.0512 0.4060  12 Ir 2.72-2.74
Ir 0.7503 0.7503 0.4328  12 Ir 2.72-2.74
Ir 0.4502 0.4502 0.4596  12 Ir 2.73-2.75
Ir 0.1500 0.1500 0.4866  12 Ir 2.73-2.74
Ir 0.8500 0.8500 0.5134  12 Ir 2.73-2.74
Ir 0.5498 0.5498 0.5404  12 Ir 2.73-2.75
Ir 0.2497 0.2497 0.5672  12 Ir 2.72-2.74
Ir 0.9488 0.9488 0.5940  12 Ir 2.72-2.74
Ir 0.6470 0.6470 0.6208  12 Ir 2.72-2.75
Ir 0.3473 0.3473 0.6480  12 Ir 2.71-2.75
Ir 0.0487 0.0487 0.6744  12 Ir 2.71-2.75
Ir 0.7465 0.7465 0.7016  1 Ga 2.66, 11 Ir 2.68-2.76
Ir 0.4520 0.4520 0.7283  2 Ga 2.66, 9 Ir 2.68-2.76
Ir 0.1526 0.1526 0.7545  3 Ga 2.69-2.71, 6 Ir 2.70-2.74

uncorrected energy	-8.2377	eV per atom
space group	C2/m

Entry 2:
GaIr15 | PBE | optimized geometry

Unit cell a=3.8570 b=3.8572 c=44.2372 alpha=90.00 beta=90.00 gamma=90.00
Last column: nearest neighbours and their distance in Å.
Sites, in units of the cell vectors:
Ga 0.0000 0.5000 0.1683  8 Ir 2.73-2.83
Ga 0.0000 0.0000 0.8317  8 Ir 2.73-2.83
Ir 0.5000 0.0000 0.1723  4 Ir 2.70, 4 Ga 2.73
Ir 0.0000 0.0000 0.2151  10 Ir 2.70-2.73, 2 Ga 2.83
Ir 0.5000 0.5000 0.2151  10 Ir 2.70-2.73, 2 Ga 2.83
Ir 0.5000 0.0000 0.2581  12 Ir 2.71-2.75
Ir 0.0000 0.5000 0.2586  12 Ir 2.72-2.73
Ir 0.0000 0.0000 0.3023  12 Ir 2.73-2.75
Ir 0.5000 0.5000 0.3023  12 Ir 2.73-2.75
Ir 0.5000 0.0000 0.3464  12 Ir 2.73-2.74
Ir 0.0000 0.5000 0.3464  12 Ir 2.73-2.74
Ir 0.5000 0.5000 0.3903  12 Ir 2.73-2.74
Ir 0.0000 0.0000 0.3903  12 Ir 2.73-2.74
Ir 0.0000 0.5000 0.4341  12 Ir 2.73-2.74
Ir 0.5000 0.0000 0.4342  12 Ir 2.73-2.74
Ir 0.0000 0.0000 0.4780  12 Ir 2.73-2.74
Ir 0.5000 0.5000 0.4781  12 Ir 2.73-2.74
Ir 0.5000 0.0000 0.5219  12 Ir 2.73-2.74
Ir 0.0000 0.5000 0.5220  12 Ir 2.73-2.74
Ir 0.5000 0.5000 0.5658  12 Ir 2.73-2.74
Ir 0.0000 0.0000 0.5659  12 Ir 2.73-2.74
Ir 0.0000 0.5000 0.6097  12 Ir 2.73-2.74
Ir 0.5000 0.0000 0.6097  12 Ir 2.73-2.74
Ir 0.0000 0.0000 0.6536  12 Ir 2.73-2.74
Ir 0.5000 0.5000 0.6536  12 Ir 2.73-2.74
Ir 0.5000 0.0000 0.6977  12 Ir 2.73-2.75
Ir 0.0000 0.5000 0.6977  12 Ir 2.73-2.75
Ir 0.0000 0.0000 0.7414  12 Ir 2.72-2.73
Ir 0.5000 0.5000 0.7419  12 Ir 2.71-2.75
Ir 0.5000 0.0000 0.7849  10 Ir 2.70-2.73, 2 Ga 2.83
Ir 0.0000 0.5000 0.7849  10 Ir 2.70-2.73, 2 Ga 2.83
Ir 0.5000 0.5000 0.8277  4 Ir 2.70, 4 Ga 2.73

distance to the lowest polymorph of the same formula	0.00	eV per formula unit
uncorrected energy	-8.4229	eV per atom
space group	Pmma

Entry 3:
GaIr8 | PBE | optimized geometry

Unit cell a=8.6391 b=8.6391 c=2.6012 alpha=90.00 beta=90.00 gamma=119.99
Last column: nearest neighbours and their distance in Å.
Sites, in units of the cell vectors:
Ga 0.0000 0.0000 0.5000  2 Ga 2.60, 12 Ir 2.85
Ir 0.8307 0.1693 0.0000  5 Ir 2.45-2.60
Ir 0.3387 0.1694 0.0000  5 Ir 2.45-2.60
Ir 0.6667 0.3333 0.0000  5 Ir 2.45-2.60
Ir 0.1694 0.3387 0.0000  5 Ir 2.45-2.60
Ir 0.8306 0.6613 0.0000  5 Ir 2.45-2.60
Ir 0.3333 0.6667 0.0000  5 Ir 2.45-2.60
Ir 0.6613 0.8306 0.0000  5 Ir 2.45-2.60
Ir 0.1693 0.8307 0.0000  5 Ir 2.45-2.60

uncorrected energy	-7.4219	eV per atom
space group	P6/mmm

Entry 4:
GaIr15 | PBE | optimized geometry

Unit cell a=5.4484 b=2.7410 c=44.2326 alpha=90.00 beta=90.00 gamma=90.00
Last column: nearest neighbours and their distance in Å.
Sites, in units of the cell vectors:
Ga 0.3749 0.2500 0.3296  6 Ir 2.73-2.76, 2 Ga 2.74
Ga 0.6251 0.7500 0.6704  6 Ir 2.73-2.76, 2 Ga 2.74
Ir 0.1250 0.7500 0.0219  12 Ir 2.72-2.74
Ir 0.6251 0.7500 0.0219  12 Ir 2.72-2.74
Ir 0.8749 0.2500 0.0658  12 Ir 2.72-2.74
Ir 0.3751 0.2500 0.0658  12 Ir 2.72-2.74
Ir 0.1247 0.7500 0.1096  12 Ir 2.72-2.74
Ir 0.6253 0.7500 0.1096  12 Ir 2.72-2.74
Ir 0.8750 0.2500 0.1533  12 Ir 2.72-2.74
Ir 0.3750 0.2500 0.1536  12 Ir 2.72-2.74
Ir 0.1243 0.7500 0.1975  12 Ir 2.72-2.76
Ir 0.6256 0.7500 0.1975  12 Ir 2.72-2.76
Ir 0.8750 0.2500 0.2408  12 Ir 2.72-2.75
Ir 0.3750 0.2500 0.2421  12 Ir 2.71-2.76
Ir 0.1240 0.7500 0.2850  10 Ir 2.69-2.75, 2 Ga 2.76
Ir 0.6260 0.7500 0.2850  10 Ir 2.69-2.75, 2 Ga 2.76
Ir 0.8750 0.2500 0.3275  6 Ir 2.69-2.74, 2 Ga 2.73
Ir 0.1250 0.7500 0.6725  6 Ir 2.69-2.74, 2 Ga 2.73
Ir 0.3740 0.2500 0.7150  10 Ir 2.69-2.75, 2 Ga 2.76
Ir 0.8760 0.2500 0.7150  10 Ir 2.69-2.75, 2 Ga 2.76
Ir 0.6250 0.7500 0.7579  12 Ir 2.71-2.76
Ir 0.1250 0.7500 0.7592  12 Ir 2.72-2.75
Ir 0.3744 0.2500 0.8025  12 Ir 2.72-2.76
Ir 0.8757 0.2500 0.8025  12 Ir 2.72-2.76
Ir 0.6250 0.7500 0.8464  12 Ir 2.72-2.74
Ir 0.1250 0.7500 0.8467  12 Ir 2.72-2.74
Ir 0.3747 0.2500 0.8904  12 Ir 2.72-2.74
Ir 0.8753 0.2500 0.8904  12 Ir 2.72-2.74
Ir 0.6249 0.7500 0.9342  12 Ir 2.72-2.74
Ir 0.1251 0.7500 0.9342  12 Ir 2.72-2.74
Ir 0.3749 0.2500 0.9781  12 Ir 2.72-2.74
Ir 0.8750 0.2500 0.9781  12 Ir 2.72-2.74

distance to the lowest polymorph of the same formula	0.15	eV per formula unit
uncorrected energy	-8.4134	eV per atom
space group	P2_1/m

Entry 5:
GaIr17 | PBE | optimized geometry

Unit cell a=5.4453 b=5.4453 c=33.0480 alpha=90.00 beta=90.00 gamma=120.00
Last column: nearest neighbours and their distance in Å.
Sites, in units of the cell vectors:
Ga 0.6667 0.3333 0.2227  9 Ir 2.74-2.91
Ga 0.3333 0.6667 0.7773  9 Ir 2.74-2.91
Ir 0.1661 0.3321 0.2308  7 Ir 2.67-2.73, 2 Ga 2.74
Ir 0.1661 0.8339 0.2308  7 Ir 2.67-2.73, 2 Ga 2.74
Ir 0.6679 0.8339 0.2308  7 Ir 2.67-2.73, 2 Ga 2.74
Ir 0.0000 0.0000 0.2962  12 Ir 2.67-2.75
Ir 0.5006 0.0012 0.2968  11 Ir 2.69-2.75, 1 Ga 2.91
Ir 0.5006 0.4994 0.2968  11 Ir 2.69-2.75, 1 Ga 2.91
Ir 0.9988 0.4994 0.2968  11 Ir 2.69-2.75, 1 Ga 2.91
Ir 0.3337 0.1669 0.3642  12 Ir 2.72-2.75
Ir 0.8331 0.1669 0.3642  12 Ir 2.72-2.75
Ir 0.8331 0.6663 0.3642  12 Ir 2.72-2.75
Ir 0.3333 0.6667 0.3648  12 Ir 2.72-2.75
Ir 0.1669 0.3338 0.4321  12 Ir 2.72-2.74
Ir 0.1669 0.8331 0.4321  12 Ir 2.72-2.74
Ir 0.6662 0.8331 0.4321  12 Ir 2.72-2.74
Ir 0.6667 0.3333 0.4322  12 Ir 2.72-2.74
Ir 0.0000 0.0000 0.5000  12 Ir 2.72-2.74
Ir 0.5000 0.0000 0.5000  12 Ir 2.72-2.74
Ir 0.0000 0.5000 0.5000  12 Ir 2.72-2.74
Ir 0.5000 0.5000 0.5000  12 Ir 2.72-2.74
Ir 0.3333 0.6667 0.5678  12 Ir 2.72-2.74
Ir 0.3338 0.1669 0.5679  12 Ir 2.72-2.74
Ir 0.8331 0.1669 0.5679  12 Ir 2.72-2.74
Ir 0.8331 0.6662 0.5679  12 Ir 2.72-2.74
Ir 0.6667 0.3333 0.6352  12 Ir 2.72-2.75
Ir 0.1669 0.3337 0.6358  12 Ir 2.72-2.75
Ir 0.1669 0.8331 0.6358  12 Ir 2.72-2.75
Ir 0.6663 0.8331 0.6358  12 Ir 2.72-2.75
Ir 0.0012 0.5006 0.7032  11 Ir 2.69-2.75, 1 Ga 2.91
Ir 0.4994 0.5006 0.7032  11 Ir 2.69-2.75, 1 Ga 2.91
Ir 0.4994 0.9988 0.7032  11 Ir 2.69-2.75, 1 Ga 2.91
Ir 0.0000 0.0000 0.7038  12 Ir 2.67-2.75
Ir 0.3321 0.1661 0.7692  7 Ir 2.67-2.73, 2 Ga 2.74
Ir 0.8339 0.1661 0.7692  7 Ir 2.67-2.73, 2 Ga 2.74
Ir 0.8339 0.6679 0.7692  7 Ir 2.67-2.73, 2 Ga 2.74

distance to the lowest polymorph of the same formula	0.19	eV per formula unit
uncorrected energy	-8.3944	eV per atom
space group	P-3m1

Entry 6:
Ga2Ir | PBE | optimized geometry

Unit cell a=5.0247 b=5.0247 c=5.0247 alpha=60.00 beta=60.00 gamma=60.00
Last column: nearest neighbours and their distance in Å.
Sites, in units of the cell vectors:
Ga 0.6250 0.6250 0.1250  6 Ga 2.51
Ga 0.6250 0.1250 0.6250  6 Ga 2.51
Ga 0.1250 0.6250 0.6250  6 Ga 2.51
Ga 0.6250 0.6250 0.6250  6 Ga 2.51
Ir 0.0000 0.0000 0.0000  12 Ga 2.95, 4 Ir 3.08
Ir 0.2500 0.2500 0.2500  12 Ga 2.95, 4 Ir 3.08

uncorrected energy	-4.5658	eV per atom
space group	Fd-3m

Entry 7:
Ga2Ir | PBE | optimized geometry

Unit cell a=5.8192 b=3.8133 c=8.3542 alpha=90.00 beta=90.00 gamma=90.00
Last column: nearest neighbours and their distance in Å.
Sites, in units of the cell vectors:
Ga 0.1525 0.2500 0.0348  4 Ir 2.56-2.60, 5 Ga 2.67-2.81
Ga 0.4430 0.7500 0.1496  5 Ir 2.64-2.89, 3 Ga 2.72-2.81
Ga 0.9430 0.7500 0.3504  5 Ir 2.64-2.89, 3 Ga 2.72-2.81
Ga 0.6525 0.2500 0.4652  4 Ir 2.56-2.60, 5 Ga 2.67-2.81
Ga 0.3475 0.7500 0.5348  4 Ir 2.56-2.60, 5 Ga 2.67-2.81
Ga 0.0570 0.2500 0.6496  5 Ir 2.64-2.89, 3 Ga 2.72-2.81
Ga 0.5570 0.2500 0.8504  5 Ir 2.64-2.89, 3 Ga 2.72-2.81
Ga 0.8475 0.7500 0.9652  4 Ir 2.56-2.60, 5 Ga 2.67-2.81
Ir 0.7563 0.2500 0.1668  8 Ga 2.56-2.68
Ir 0.2563 0.2500 0.3332  8 Ga 2.56-2.68
Ir 0.7437 0.7500 0.6668  8 Ga 2.56-2.68
Ir 0.2437 0.7500 0.8332  8 Ga 2.56-2.68

uncorrected energy	-5.4065	eV per atom
space group	Pnma

Entry 8:
GaIr17 | PBE | optimized geometry

Unit cell a=4.7071 b=5.4432 c=33.1057 alpha=90.00 beta=90.01 gamma=90.00
Last column: nearest neighbours and their distance in Å.
Sites, in units of the cell vectors:
Ga 0.3343 0.2500 0.2775  9 Ir 2.73-2.93
Ga 0.6657 0.7500 0.7225  9 Ir 2.73-2.93
Ir 0.5000 0.0000 0.0000  12 Ir 2.72-2.75
Ir 0.5000 0.5000 0.0000  12 Ir 2.72-2.75
Ir 0.0002 0.2500 0.0003  12 Ir 2.72-2.75
Ir 0.3339 0.7500 0.0675  12 Ir 2.72-2.76
Ir 0.8335 0.5003 0.0679  12 Ir 2.72-2.75
Ir 0.8335 0.9997 0.0679  12 Ir 2.72-2.75
Ir 0.3334 0.2500 0.0681  12 Ir 2.72-2.75
Ir 0.6692 0.7500 0.1351  12 Ir 2.71-2.74
Ir 0.6647 0.2500 0.1357  12 Ir 2.71-2.76
Ir 0.1668 0.5003 0.1359  12 Ir 2.71-2.76
Ir 0.1668 0.9997 0.1359  12 Ir 2.71-2.76
Ir 0.5001 0.0018 0.2028  11 Ir 2.70-2.74, 1 Ga 2.93
Ir 0.5001 0.4982 0.2028  11 Ir 2.70-2.74, 1 Ga 2.93
Ir 0.9983 0.7500 0.2033  12 Ir 2.70-2.74
Ir 0.0025 0.2500 0.2038  11 Ir 2.69-2.76, 1 Ga 2.90
Ir 0.8334 0.5009 0.2696  7 Ir 2.69-2.73, 2 Ga 2.73-2.74
Ir 0.8334 0.9991 0.2696  7 Ir 2.69-2.73, 2 Ga 2.73-2.74
Ir 0.3310 0.7500 0.2697  7 Ir 2.70-2.73, 2 Ga 2.73
Ir 0.6690 0.2500 0.7303  7 Ir 2.70-2.73, 2 Ga 2.73
Ir 0.1666 0.0009 0.7304  7 Ir 2.69-2.73, 2 Ga 2.73-2.74
Ir 0.1666 0.4991 0.7304  7 Ir 2.69-2.73, 2 Ga 2.73-2.74
Ir 0.9975 0.7500 0.7962  11 Ir 2.69-2.76, 1 Ga 2.90
Ir 0.0017 0.2500 0.7967  12 Ir 2.70-2.74
Ir 0.4999 0.5018 0.7972  11 Ir 2.70-2.74, 1 Ga 2.93
Ir 0.4999 0.9982 0.7972  11 Ir 2.70-2.74, 1 Ga 2.93
Ir 0.8332 0.0003 0.8641  12 Ir 2.71-2.76
Ir 0.8332 0.4997 0.8641  12 Ir 2.71-2.76
Ir 0.3353 0.7500 0.8643  12 Ir 2.71-2.76
Ir 0.3308 0.2500 0.8649  12 Ir 2.71-2.74
Ir 0.6666 0.7500 0.9319  12 Ir 2.72-2.75
Ir 0.1665 0.0003 0.9321  12 Ir 2.72-2.75
Ir 0.1665 0.4997 0.9321  12 Ir 2.72-2.75
Ir 0.6661 0.2500 0.9325  12 Ir 2.72-2.76
Ir 0.9998 0.7500 0.9997  12 Ir 2.72-2.75

distance to the lowest polymorph of the same formula	0.00	eV per formula unit
uncorrected energy	-8.4048	eV per atom
space group	P2_1/m